VASP calculation (PBE) on a relaxed La2Al3Cu12Ag crystal.

It has space group R-3m (No. 166, hexagonal axes), with a = 6.1550 Å, b = 6.1550 Å, c = 28.2043 Å, α = 90.00°, β = 90.00° and γ = 120.00°. The inequivalent atoms are La at (0.0000, 0.0000, 0.1501), Al at (0.0000, 0.5000, 0.0000), Cu at (0.0474, 0.5237, 0.0929), Cu at (0.0726, 0.5363, 0.6181) and Ag at (0.0000, 0.0000, 0.5000).

The calculation puts the calculated formation energy at 1.65 eV/f.u.

VASP calculation (PBE) on a relaxed LaAl4Cu2Ag crystal.

It has space group R-3m (No. 166, hexagonal axes), with a = 4.2576 Å, b = 4.2576 Å, c = 28.1893 Å, α = 90.00°, β = 90.00° and γ = 120.00°. The inequivalent atoms are La at (0.0000, 0.0000, 0.0000), Al at (0.0000, 0.0000, 0.1224), Al at (0.0000, 0.0000, 0.4052), Cu at (0.0000, 0.0000, 0.2383) and Ag at (0.0000, 0.0000, 0.5000).

The calculation puts the calculated formation energy at -1.97 eV/f.u.

VASP calculation (PBE) on a relaxed LuAlCuAg crystal.

It has space group F-43m (No. 216), with a = 6.575 Å, b = 6.575 Å, c = 6.575 Å, α = 90.00°, β = 90.00° and γ = 90.00°. The inequivalent atoms are Lu at (0.000, 0.000, 0.000), Al at (0.000, 0.000, 0.500), Cu at (0.250, 0.250, 0.250) and Ag at (0.250, 0.250, 0.750).

The calculation puts the calculated formation energy at -1.29 eV/f.u.

VASP calculation (PBE) on a relaxed MgAlCu2Ag crystal.

It has space group P4/mmm (No. 123), with a = 4.804 Å, b = 4.804 Å, c = 4.712 Å, α = 90.00°, β = 90.00° and γ = 90.00°. The inequivalent atoms are Mg at (0.000, 0.000, 0.000), Al at (0.500, 0.500, 0.000), Cu at (0.000, 0.500, 0.500) and Ag at (0.500, 0.500, 0.500).

The calculation puts the calculated formation energy at 3.04 eV/f.u.

VASP calculation (PBE) on a relaxed NdAl3CuAg crystal.

It has space group Cmcm (No. 63), with a = 6.086 Å, b = 12.624 Å, c = 6.093 Å, α = 90.00°, β = 90.00° and γ = 90.00°. The inequivalent atoms are Nd at (0.000, 0.211, 0.250), Al at (0.000, 0.366, 0.750), Al at (0.216, 0.000, 0.000), Cu at (0.000, 0.429, 0.250) and Ag at (0.000, 0.153, 0.750).

The calculation puts the calculated formation energy at -1.05 eV/f.u.

VASP calculation (PBE) on a relaxed NdAl4Cu2Ag crystal.

It has space group R-3m (No. 166, hexagonal axes), with a = 4.2444 Å, b = 4.2444 Å, c = 27.6837 Å, α = 90.00°, β = 90.00° and γ = 120.00°. The inequivalent atoms are Nd at (0.0000, 0.0000, 0.0000), Al at (0.0000, 0.0000, 0.1215), Al at (0.0000, 0.0000, 0.4033), Cu at (0.0000, 0.0000, 0.2403) and Ag at (0.0000, 0.0000, 0.5000).

The calculation puts the calculated formation energy at -1.91 eV/f.u.

VASP calculation (PBE) on a relaxed NdAl4CuAg2 crystal.

It has space group R-3m (No. 166, hexagonal axes), with a = 4.3873 Å, b = 4.3873 Å, c = 26.6745 Å, α = 90.00°, β = 90.00° and γ = 120.00°. The inequivalent atoms are Nd at (0.0000, 0.0000, 0.0000), Al at (0.0000, 0.0000, 0.1305), Al at (0.0000, 0.0000, 0.4030), Cu at (0.0000, 0.0000, 0.5000) and Ag at (0.0000, 0.0000, 0.2391).

The calculation puts the calculated formation energy at -1.69 eV/f.u.

VASP calculation (PBE) on a relaxed AlCu3Ag4O12 crystal.

It has space group Im-3 (No. 204), with a = 7.703 Å, b = 7.703 Å, c = 7.703 Å, α = 90.00°, β = 90.00° and γ = 90.00°. The inequivalent atoms are Al at (0.000, 0.000, 0.000), Cu at (0.000, 0.000, 0.500), Ag at (0.250, 0.250, 0.250) and O at (0.000, 0.309, 0.156).

Its formation energy without anion corrections is -0.152 eV/atom.

| no. | V (Å³ per cell) |
| --- | --- |
| 1 | 925.3 |
| 2 | 442.5 |
| 3 | 284.3 |
| 4 | 108.7 |
| 5 | 468.1 |
| 6 | 431.9 |
| 7 | 444.7 |
| 8 | 457.2 |